# 1
VASP calculation (PBE-GGA) on an optimized crystal structure of Tb2CuS3.

Structure (CIF):
```
data_Tb2CuS3
_space_group_name_H-M_alt 'P 1'
_space_group_IT_number 1
_cell_length_a 3.678
_cell_length_b 4.252
_cell_length_c 8.210
_cell_angle_alpha 105.01
_cell_angle_beta 102.94
_cell_angle_gamma 90.00
loop_
_space_group_symop_operation_xyz
'x,y,z'
loop_
_atom_site_label
_atom_site_type_symbol
_atom_site_fract_x
_atom_site_fract_y
_atom_site_fract_z
S1 S 0.823 0.823 0.645
S2 S 0.177 0.177 0.355
S3 S 0.000 0.500 0.000
Tb1 Tb 0.640 0.640 0.280
Tb2 Tb 0.360 0.360 0.720
Cu1 Cu 0.000 0.000 0.000
```

Calculated values
The formation energy without anion corrections comes out at -148 kJ/mol of atoms.


# 2
VASP calculation (PBE-GGA) on an optimized crystal structure of SiIr.

Structure (CIF):
```
data_SiIr
_space_group_name_H-M_alt 'P 1'
_space_group_IT_number 1
_cell_length_a 3.884
_cell_length_b 8.536
_cell_length_c 5.567
_cell_angle_alpha 90.00
_cell_angle_beta 90.00
_cell_angle_gamma 90.00
loop_
_space_group_symop_operation_xyz
'x,y,z'
loop_
_atom_site_label
_atom_site_type_symbol
_atom_site_fract_x
_atom_site_fract_y
_atom_site_fract_z
Si1 Si 0.000 0.500 0.650
Si2 Si 0.000 0.000 0.150
Si3 Si 0.500 0.329 0.253
Si4 Si 0.500 0.829 0.753
Si5 Si 0.500 0.671 0.253
Si6 Si 0.500 0.171 0.753
Ir1 Ir 0.000 0.245 0.464
Ir2 Ir 0.000 0.755 0.464
Ir3 Ir 0.000 0.745 0.964
Ir4 Ir 0.500 0.000 0.419
Ir5 Ir 0.000 0.255 0.964
Ir6 Ir 0.500 0.500 0.919
```

Calculated values
The formation energy without anion corrections comes out at -44 kJ/mol of atoms.


# 3
VASP calculation (PBE-GGA) on an optimized crystal structure of IrPt5.

Structure (CIF):
```
data_IrPt5
_space_group_name_H-M_alt 'P 1'
_space_group_IT_number 1
_cell_length_a 2.769
_cell_length_b 2.769
_cell_length_c 14.092
_cell_angle_alpha 90.00
_cell_angle_beta 90.00
_cell_angle_gamma 120.00
loop_
_space_group_symop_operation_xyz
'x,y,z'
loop_
_atom_site_label
_atom_site_type_symbol
_atom_site_fract_x
_atom_site_fract_y
_atom_site_fract_z
Pt1 Pt 0.667 0.333 0.839
Pt2 Pt 0.000 0.000 0.331
Pt3 Pt 0.667 0.333 0.500
Pt4 Pt 0.667 0.333 0.161
Pt5 Pt 0.000 0.000 0.669
Ir1 Ir 0.000 0.000 0.000
```

Calculated values
The calculated formation energy is 50 kJ/mol of formula units.


# 4
VASP calculation (PBE-GGA) on an optimized crystal structure of CdGe2BF.

Structure (CIF):
```
data_CdGe2BF
_space_group_name_H-M_alt 'P 1'
_space_group_IT_number 1
_cell_length_a 4.486
_cell_length_b 4.782
_cell_length_c 4.486
_cell_angle_alpha 90.00
_cell_angle_beta 90.00
_cell_angle_gamma 90.00
loop_
_space_group_symop_operation_xyz
'x,y,z'
loop_
_atom_site_label
_atom_site_type_symbol
_atom_site_fract_x
_atom_site_fract_y
_atom_site_fract_z
Cd1 Cd 0.000 0.500 0.000
F1 F 0.000 0.000 0.000
B1 B 0.500 0.500 0.500
Ge1 Ge 0.500 0.000 0.000
Ge2 Ge 0.000 0.000 0.500
```

Calculated values
The formation energy without anion corrections comes out at 74 kJ/mol of atoms.


# 5
VASP calculation (PBE-GGA) on an optimized crystal structure of KHgCl.

Structure (CIF):
```
data_KHgCl
_space_group_name_H-M_alt 'P 1'
_space_group_IT_number 1
_cell_length_a 5.472
_cell_length_b 5.472
_cell_length_c 5.472
_cell_angle_alpha 60.00
_cell_angle_beta 60.00
_cell_angle_gamma 60.00
loop_
_space_group_symop_operation_xyz
'x,y,z'
loop_
_atom_site_label
_atom_site_type_symbol
_atom_site_fract_x
_atom_site_fract_y
_atom_site_fract_z
Hg1 Hg 0.500 0.500 0.500
K1 K 0.750 0.750 0.750
Cl1 Cl 0.000 0.000 0.000
```

Calculated values
The formation energy without anion corrections comes out at -103 kJ/mol of atoms.


# 6
VASP calculation (PBE-GGA) on an optimized crystal structure of Mo2WSe.

Structure (CIF):
```
data_Mo2WSe
_space_group_name_H-M_alt 'P 1'
_space_group_IT_number 1
_cell_length_a 3.118
_cell_length_b 3.118
_cell_length_c 6.609
_cell_angle_alpha 90.00
_cell_angle_beta 90.00
_cell_angle_gamma 90.00
loop_
_space_group_symop_operation_xyz
'x,y,z'
loop_
_atom_site_label
_atom_site_type_symbol
_atom_site_fract_x
_atom_site_fract_y
_atom_site_fract_z
Mo1 Mo 0.000 0.000 0.008
Mo2 Mo 0.500 0.500 0.235
W1 W 0.500 0.500 0.744
Se1 Se 0.000 0.000 0.513
```

Calculated values
The formation energy without anion corrections comes out at 25 kJ/mol of atoms.


Uncorrected energy, record by record: -34.96 -15.19 -38.54 -14.87 -6.46 -37.06 eV per formula unit
Theoretical density, record by record: 6.6 11.9 20.7 5.0 3.9 11.8 g cm⁻³
DOS(E_F), record by record: 0.255 0.538 2.125 0.405 0.000 0.708 states/eV/atom